1.
Here is an optimized crystal structure of Re2AsRh from the Alexandria database. Energies are from GGA-PBE.

a = 4.996 Å, b = 4.996 Å, c = 4.440 Å
α = 92.63°, β = 92.63°, γ = 33.85°
Element x y z (fractional)
1 Re 0.222 0.222 0.234
2 Re 0.778 0.778 0.766
3 As 0.000 0.000 0.500
4 Rh 0.500 0.500 0.000

Computed properties:
The space group is C2/m. The magnetic moment comes out at 0.0 μB per formula unit. The mass density comes out at 14.8 Mg/m³. The calculation puts the total energy at -0.6637 Ry per atom.



2.
Here is an optimized crystal structure of ReAsRh2 from the Alexandria database. Energies are from GGA-PBE.

a = 4.795 Å, b = 4.795 Å, c = 4.795 Å
α = 132.87°, β = 132.87°, γ = 68.86°
Element x y z (fractional)
1 Re 0.000 0.000 0.000
2 As 0.500 0.500 0.000
3 Rh 0.250 0.750 0.500
4 Rh 0.750 0.250 0.500

Computed properties:
The space group is I4/mmm. The magnetic moment comes out at 0.0 μB per formula unit. The mass density comes out at 13.3 Mg/m³. The calculation puts the total energy at -0.5765 Ry per atom.



3.
Here is an optimized crystal structure of ReAsRh2 from the Alexandria database. Energies are from GGA-PBE.

a = 8.686 Å, b = 8.686 Å, c = 8.686 Å
α = 18.68°, β = 18.68°, γ = 18.68°
Element x y z (fractional)
1 Re 0.000 0.000 0.000
2 As 0.500 0.500 0.500
3 Rh 0.247 0.247 0.247
4 Rh 0.753 0.753 0.753

Computed properties:
The space group is R-3m. The magnetic moment comes out at 0.0 μB per formula unit. The mass density comes out at 13.2 Mg/m³. The calculation puts the total energy at -0.5873 Ry per atom.



4.
Here is an optimized crystal structure of ReAsRh2 from the Alexandria database. Energies are from GGA-PBE.

a = 6.842 Å, b = 6.842 Å, c = 6.842 Å
α = 132.71°, β = 132.71°, γ = 69.12°
Element x y z (fractional)
1 Re 0.000 0.000 0.000
2 Re 0.750 0.250 0.500
3 As 0.250 0.750 0.500
4 As 0.500 0.500 0.000
5 Rh 0.125 0.625 0.000
6 Rh 0.375 0.375 0.500
7 Rh 0.625 0.125 0.000
8 Rh 0.875 0.875 0.500

Computed properties:
The space group is I-42d. The magnetic moment comes out at 0.0 μB per formula unit. The mass density comes out at 9.1 Mg/m³. The calculation puts the total energy at -0.5415 Ry per atom.



5.
Here is an optimized crystal structure of ReAsRh3 from the Alexandria database. Energies are from GGA-PBE.

a = 4.697 Å, b = 4.697 Å, c = 4.697 Å
α = 90.00°, β = 90.00°, γ = 90.00°
Element x y z (fractional)
1 Re 0.000 0.000 0.000
2 As 0.500 0.500 0.500
3 Rh 0.000 0.000 0.500
4 Rh 0.000 0.500 0.000
5 Rh 0.500 0.000 0.000

Computed properties:
The space group is Pm-3m. The magnetic moment comes out at 0.0 μB per formula unit. The mass density comes out at 9.1 Mg/m³. The calculation puts the total energy at -0.4835 Ry per atom.



6.
Here is an optimized crystal structure of Re2AsRh from the Alexandria database. Energies are from GGA-PBE.

a = 5.331 Å, b = 5.331 Å, c = 5.331 Å
α = 147.96°, β = 131.36°, γ = 59.44°
Element x y z (fractional)
1 Re 0.216 0.216 0.000
2 Re 0.784 0.784 0.000
3 As 0.000 0.500 0.500
4 Rh 0.500 0.000 0.500

Computed properties:
The space group is Immm. The magnetic moment comes out at 0.0 μB per formula unit. The mass density comes out at 15.3 Mg/m³. The calculation puts the total energy at -0.6673 Ry per atom.



7.
Here is an optimized crystal structure of Re2AsRu from the Alexandria database. Energies are from GGA-PBE.

a = 5.170 Å, b = 5.170 Å, c = 5.170 Å
α = 146.88°, β = 129.01°, γ = 62.16°
Element x y z (fractional)
1 Re 0.000 0.000 0.000
2 Re 0.729 0.229 0.500
3 As 0.500 0.500 0.000
4 Ru 0.280 0.780 0.500

Computed properties:
The space group is Imm2. The magnetic moment comes out at 0.0 μB per formula unit. The mass density comes out at 15.7 Mg/m³. The calculation puts the total energy at -0.6995 Ry per atom.



8.
Here is an optimized crystal structure of Re2AsRu from the Alexandria database. Energies are from GGA-PBE.

a = 2.735 Å, b = 2.735 Å, c = 9.425 Å
α = 90.00°, β = 90.00°, γ = 117.81°
Element x y z (fractional)
1 Re 0.000 0.000 0.236
2 Re 0.000 0.000 0.764
3 As 0.500 0.500 0.500
4 Ru 0.500 0.500 0.000

Computed properties:
The space group is Cmmm. The magnetic moment comes out at 0.0 μB per formula unit. The mass density comes out at 14.6 Mg/m³. The calculation puts the total energy at -0.6672 Ry per atom.